Computed, not measured: crystalline CsOs3N at its relaxed geometry at the PBE level of DFT.

Calculated values
ΔE_f (raw) = 2461 kJ/mol of formula units
mass density = 9.2 g/cm³
symmetry = No. 221
N(E_F) = 4.76 states/eV/cell

a = 5.057 Å, b = 5.057 Å, c = 5.057 Å
α = 90.00°, β = 90.00°, γ = 90.00°
Site moments in Bohr magnetons follow the coordinates.
Positions (direct):
Os  0.000  0.000  0.500  1.89
Os  0.000  0.500  0.000  2.00
Os  0.500  0.000  0.000  1.81
N  0.500  0.500  0.500  1.64
Cs  0.000  0.000  0.000  0.01